No. 1
This record from the Open Quantum Materials Database describes GdHo3Mg2 after structural relaxation. The functional is PBE-GGA.

CIF file:
```
data_GdHo3Mg2
_space_group_name_H-M_alt 'A m m 2'
_space_group_IT_number 38
_space_group_name_Hall 'A 2 -2'
_cell_length_a 5.455
_cell_length_b 3.657
_cell_length_c 17.186
_cell_angle_alpha 90.00
_cell_angle_beta 90.00
_cell_angle_gamma 90.00
loop_
_atom_site_label
_atom_site_type_symbol
_atom_site_fract_x
_atom_site_fract_y
_atom_site_fract_z
Gd1 Gd 0.000 0.000 0.000
Ho1 Ho 0.000 0.000 0.320
Ho2 Ho 0.500 0.000 0.133
Ho3 Ho 0.500 0.000 0.453
Mg1 Mg 0.000 0.000 0.662
Mg2 Mg 0.500 0.000 0.792
```

Calculated values
The total energy is -3.636 eV/atom. As for the crystal system: orthorhombic.

---

No. 2
This record from the Open Quantum Materials Database describes NiSnIrPd after structural relaxation. The functional is PBE-GGA.

CIF file:
```
data_NiSnIrPd
_space_group_name_H-M_alt 'F -4 3 m'
_space_group_IT_number 216
_space_group_name_Hall 'F -4 2 3'
_cell_length_a 6.265
_cell_length_b 6.265
_cell_length_c 6.265
_cell_angle_alpha 90.00
_cell_angle_beta 90.00
_cell_angle_gamma 90.00
loop_
_atom_site_label
_atom_site_type_symbol
_atom_site_fract_x
_atom_site_fract_y
_atom_site_fract_z
Ni1 Ni 0.000 0.000 0.000
Sn1 Sn 0.250 0.250 0.250
Ir1 Ir 0.250 0.250 0.750
Pd1 Pd 0.000 0.000 0.500
```

Calculated values
The total energy is -5.900 eV/atom. As for the crystal system: cubic.

---

No. 3
This record from the Open Quantum Materials Database describes Sm5HoTe6 after structural relaxation. The functional is PBE-GGA.

CIF file:
```
data_Sm5HoTe6
_space_group_name_H-M_alt 'C 1 2/m 1'
_space_group_IT_number 12
_space_group_name_Hall '-C 2y'
_cell_length_a 7.659
_cell_length_b 13.292
_cell_length_c 7.647
_cell_angle_alpha 90.00
_cell_angle_beta 109.53
_cell_angle_gamma 90.00
loop_
_atom_site_label
_atom_site_type_symbol
_atom_site_fract_x
_atom_site_fract_y
_atom_site_fract_z
Sm1 Sm 0.000 0.000 0.000
Sm2 Sm 0.000 0.168 0.500
Sm3 Sm 0.000 0.327 0.000
Ho1 Ho 0.000 0.500 0.500
Te1 Te 0.243 0.500 0.250
Te2 Te 0.245 0.337 0.745
```

Calculated values
The total energy is -5.279 eV/atom. As for the crystal system: monoclinic.

---

No. 4
This record from the Open Quantum Materials Database describes RbTe3PtAu after structural relaxation. The functional is PBE-GGA.

CIF file:
```
data_RbTe3PtAu
_space_group_name_H-M_alt 'C m c m'
_space_group_IT_number 63
_space_group_name_Hall '-C 2c 2'
_cell_length_a 4.051
_cell_length_b 16.203
_cell_length_c 11.402
_cell_angle_alpha 90.00
_cell_angle_beta 90.00
_cell_angle_gamma 90.00
loop_
_atom_site_label
_atom_site_type_symbol
_atom_site_fract_x
_atom_site_fract_y
_atom_site_fract_z
Rb1 Rb 0.000 0.239 0.250
Te1 Te 0.000 0.109 0.518
Te2 Te 0.000 0.459 0.750
Pt1 Pt 0.000 0.500 0.000
Au1 Au 0.000 0.088 0.750
```

Calculated values
The total energy is -3.650 eV/atom. As for the crystal system: orthorhombic.

---

No. 5
This record from the Open Quantum Materials Database describes TaTlNO after structural relaxation. The functional is PBE-GGA.

CIF file:
```
data_TaTlNO
_space_group_name_H-M_alt 'P m c 21'
_space_group_IT_number 26
_space_group_name_Hall 'P 2c -2'
_cell_length_a 3.404
_cell_length_b 7.327
_cell_length_c 5.945
_cell_angle_alpha 90.00
_cell_angle_beta 90.00
_cell_angle_gamma 90.00
loop_
_atom_site_label
_atom_site_type_symbol
_atom_site_fract_x
_atom_site_fract_y
_atom_site_fract_z
Ta1 Ta 0.000 0.166 0.000
Tl1 Tl 0.500 0.351 0.501
N1 N 0.500 0.294 0.001
O1 O 0.000 0.000 0.250
```

Calculated values
For the polymorph energy (0 for the lowest one), the calculation gives 10.8 meV/atom. As for the crystal system: orthorhombic.

---

No. 6
This record from the Open Quantum Materials Database describes Sm3ThSb4 after structural relaxation. The functional is PBE-GGA.

CIF file:
```
data_Sm3ThSb4
_space_group_name_H-M_alt 'C m m m'
_space_group_IT_number 65
_space_group_name_Hall '-C 2 2'
_cell_length_a 8.955
_cell_length_b 12.670
_cell_length_c 4.486
_cell_angle_alpha 90.00
_cell_angle_beta 90.00
_cell_angle_gamma 90.00
loop_
_atom_site_label
_atom_site_type_symbol
_atom_site_fract_x
_atom_site_fract_y
_atom_site_fract_z
Sm1 Sm 0.000 0.000 0.000
Sm2 Sm 0.250 0.250 0.500
Th1 Th 0.000 0.500 0.000
Sb1 Sb 0.000 0.250 0.000
Sb2 Sb 0.248 0.000 0.500
```

Calculated values
The total energy is -5.886 eV/atom. As for the crystal system: orthorhombic.

---

No. 7
This record from the Open Quantum Materials Database describes AgO2F after structural relaxation. The functional is PBE-GGA.

CIF file:
```
data_AgO2F
_space_group_name_H-M_alt 'P 1 21 1'
_space_group_IT_number 4
_space_group_name_Hall 'P 2yb'
_cell_length_a 3.942
_cell_length_b 3.952
_cell_length_c 6.539
_cell_angle_alpha 90.00
_cell_angle_beta 100.74
_cell_angle_gamma 90.00
loop_
_atom_site_label
_atom_site_type_symbol
_atom_site_fract_x
_atom_site_fract_y
_atom_site_fract_z
Ag1 Ag 0.233 0.000 0.299
O1 O 0.215 0.697 0.893
O2 O 0.272 0.614 0.088
F1 F 0.255 0.428 0.504
```

Calculated values
The total energy is -4.080 eV/atom. As for the crystal system: monoclinic.

---

No. 8
This record from the Open Quantum Materials Database describes Sr2In2Ag after structural relaxation. The functional is PBE-GGA.

CIF file:
```
data_Sr2In2Ag
_space_group_name_H-M_alt 'I 4/m m m'
_space_group_IT_number 139
_space_group_name_Hall '-I 4 2'
_cell_length_a 4.266
_cell_length_b 4.266
_cell_length_c 17.522
_cell_angle_alpha 90.00
_cell_angle_beta 90.00
_cell_angle_gamma 90.00
loop_
_atom_site_label
_atom_site_type_symbol
_atom_site_fract_x
_atom_site_fract_y
_atom_site_fract_z
Sr1 Sr 0.000 0.000 0.098
In1 In 0.000 0.500 0.250
Ag1 Ag 0.000 0.000 0.500
```

Calculated values
The total energy is -2.443 eV/atom. As for the crystal system: tetragonal.